(1)
The following is a GGA-PBE calculation of a geometry-optimized ZnCuHgBi structure, from OQMD via LeMat-Bulk.

Its energy above the lowest structure with this stoichiometry is 0.0000 eV per atom.

The structure belongs to space group F-43m (No. 216); the cell edges are 6.931, 6.931 and 6.931 Å and the angles 90.00°, 90.00° and 90.00°. The inequivalent atoms are Zn at (0.000, 0.000, 0.000), Cu at (0.000, 0.000, 0.500), Hg at (0.250, 0.250, 0.750) and Bi at (0.250, 0.250, 0.250).

(2)
The following is a GGA-PBE calculation of a geometry-optimized NdHoCu2Bi4 structure, from OQMD via LeMat-Bulk.

The calculation puts the total magnetization at 0.00 μB/atom. The value obtained for the energy is -36.49 eV/cell.

The structure belongs to space group P4mm (No. 99); the cell edges are 4.551, 4.551 and 9.757 Å and the angles 90.00°, 90.00° and 90.00°. The inequivalent atoms are Nd at (0.000, 0.000, 0.000), Ho at (0.500, 0.500, 0.528), Cu at (0.000, 0.500, 0.755), Bi at (0.000, 0.000, 0.593), Bi at (0.000, 0.500, 0.268) and Bi at (0.500, 0.500, 0.920).

(3)
The following is a GGA-PBE calculation of a geometry-optimized CuBiI4 structure, from OQMD via LeMat-Bulk.

The value obtained for the energy is -63.15 eV/cell.

The structure belongs to space group Immm (No. 71); the cell edges are 8.756, 9.007 and 11.971 Å and the angles 90.00°, 90.00° and 90.00°. The inequivalent atoms are Cu at (0.000, 0.000, 0.162), Bi at (0.000, 0.244, 0.500), I at (0.000, 0.260, 0.242), I at (0.231, 0.000, 0.000) and I at (0.244, 0.000, 0.500).

(4)
The following is a GGA-PBE calculation of a geometry-optimized CuBiSI2 structure, from OQMD via LeMat-Bulk.

The value obtained for the energy is -63.90 eV/cell.

The structure belongs to space group Cmcm (No. 63); the cell edges are 4.153, 13.965 and 9.595 Å and the angles 90.00°, 90.00° and 90.00°. The inequivalent atoms are Cu at (0.000, 0.000, 0.000), Bi at (0.000, 0.311, 0.250), S at (0.000, 0.065, 0.750) and I at (0.000, 0.365, 0.564).